[1]
First-principles (GGA-PBE) data for an optimized crystal structure of BeBr, as listed in the Alexandria database.

SG: C2/m, No. 12
Uncorrected formation energy in eV per atom: -0.132
Distance to the lowest polymorph of the same formula in eV/atom: 0.273
Energy in eV/atom: -2.832

Unit cell a=9.125 b=3.418 c=3.296 alpha=61.18 beta=79.60 gamma=75.91
Atoms (fractional coordinates):
Br (0.707, 0.391, 0.451)
Br (0.210, 0.192, 0.299)
Be (0.063, 0.636, 0.650)
Be (0.853, 0.947, 0.100)

[2]
First-principles (GGA-PBE) data for an optimized crystal structure of BeBr, as listed in the Alexandria database.

SG: P4_2/mnm, No. 136
Uncorrected formation energy in eV per atom: -0.251
Distance to the lowest polymorph of the same formula in eV/atom: 0.154
Energy in eV/atom: -2.950
DOS(E_F) in states/eV per atom: 0.0000

Unit cell a=8.691 b=8.691 c=3.417 alpha=90.00 beta=90.00 gamma=90.00
Atoms (fractional coordinates):
Br (0.304, 0.696, 0.500)
Br (0.696, 0.304, 0.500)
Br (0.804, 0.804, 0.000)
Br (0.196, 0.196, 0.000)
Be (0.084, 0.084, 0.500)
Be (0.416, 0.584, 0.000)
Be (0.584, 0.416, 0.000)
Be (0.916, 0.916, 0.500)

[3]
First-principles (GGA-PBE) data for an optimized crystal structure of BeBr, as listed in the Alexandria database.

SG: I4/m, No. 87
Uncorrected formation energy in eV per atom: -0.335
Distance to the lowest polymorph of the same formula in eV/atom: 0.070
Energy in eV/atom: -3.034

Unit cell a=11.092 b=11.092 c=3.592 alpha=90.00 beta=90.00 gamma=90.00
Atoms (fractional coordinates):
Br (0.271, 0.950, 0.000)
Br (0.771, 0.450, 0.500)
Br (0.729, 0.050, 0.000)
Br (0.550, 0.771, 0.500)
Br (0.050, 0.271, 0.000)
Br (0.450, 0.229, 0.500)
Br (0.229, 0.550, 0.500)
Br (0.950, 0.729, 0.000)
Be (0.068, 0.443, 0.500)
Be (0.943, 0.432, 0.000)
Be (0.557, 0.068, 0.500)
Be (0.443, 0.932, 0.500)
Be (0.432, 0.057, 0.000)
Be (0.057, 0.568, 0.000)
Be (0.932, 0.557, 0.500)
Be (0.568, 0.943, 0.000)

[4]
First-principles (GGA-PBE) data for an optimized crystal structure of BeBr, as listed in the Alexandria database.

SG: Fd-3m, No. 227
Uncorrected formation energy in eV per atom: 1.187
Distance to the lowest polymorph of the same formula in eV/atom: 1.592
Energy in eV/atom: -1.513
DOS(E_F) in states/eV per atom: 1.0634

Unit cell a=4.885 b=4.885 c=4.885 alpha=60.00 beta=60.00 gamma=60.00
Atoms (fractional coordinates):
Br (0.750, 0.750, 0.750)
Br (0.500, 0.500, 0.500)
Be (0.000, 0.000, 0.000)
Be (0.250, 0.250, 0.250)

[5]
First-principles (GGA-PBE) data for an optimized crystal structure of BeBr, as listed in the Alexandria database.

SG: Fm-3m, No. 225
Uncorrected formation energy in eV per atom: 0.551
Distance to the lowest polymorph of the same formula in eV/atom: 0.956
Energy in eV/atom: -2.148
DOS(E_F) in states/eV per atom: 0.3485

Unit cell a=3.748 b=3.748 c=3.748 alpha=60.00 beta=60.00 gamma=60.00
Atoms (fractional coordinates):
Be (0.000, 0.000, 0.000)
Br (0.500, 0.500, 0.500)

[6]
First-principles (GGA-PBE) data for an optimized crystal structure of Be5Br3, as listed in the Alexandria database.

SG: Cmmm, No. 65
Uncorrected formation energy in eV per atom: 0.840
Distance to the lowest polymorph of the same formula in eV/atom: 0.820
Energy in eV/atom: -2.116
DOS(E_F) in states/eV per atom: 0.7385

Unit cell a=4.926 b=4.926 c=6.090 alpha=90.00 beta=90.00 gamma=98.38
Atoms (fractional coordinates):
Br (0.500, 0.500, 0.000)
Br (0.746, 0.746, 0.500)
Br (0.254, 0.254, 0.500)
Be (0.000, 0.500, 0.000)
Be (0.500, 0.000, 0.000)
Be (0.000, 0.000, 0.000)
Be (0.194, 0.806, 0.500)
Be (0.806, 0.194, 0.500)

[7]
First-principles (GGA-PBE) data for an optimized crystal structure of BeBr, as listed in the Alexandria database.

SG: P4/nmm, No. 129
Uncorrected formation energy in eV per atom: 0.480
Distance to the lowest polymorph of the same formula in eV/atom: 0.885
Energy in eV/atom: -2.220
DOS(E_F) in states/eV per atom: 0.4440

Unit cell a=3.159 b=3.159 c=8.554 alpha=90.00 beta=90.00 gamma=90.00
Atoms (fractional coordinates):
Br (0.250, 0.250, 0.727)
Br (0.750, 0.750, 0.273)
Be (0.750, 0.750, 0.872)
Be (0.250, 0.250, 0.128)

[8]
First-principles (GGA-PBE) data for an optimized crystal structure of BeBr, as listed in the Alexandria database.

SG: Cm, No. 8
Uncorrected formation energy in eV per atom: -0.188
Distance to the lowest polymorph of the same formula in eV/atom: 0.217
Energy in eV/atom: -2.887
DOS(E_F) in states/eV per atom: 0.3525

Unit cell a=7.460 b=7.460 c=7.663 alpha=68.91 beta=68.91 gamma=27.82
Atoms (fractional coordinates):
Be (0.372, 0.372, 0.721)
Be (0.219, 0.219, 0.892)
Be (0.775, 0.775, 0.717)
Br (0.077, 0.077, 0.064)
Br (0.752, 0.752, 0.473)
Br (0.972, 0.972, 0.633)

[9]
First-principles (GGA-PBE) data for an optimized crystal structure of BeBr, as listed in the Alexandria database.

SG: Pmmn, No. 59
Uncorrected formation energy in eV per atom: 0.480
Distance to the lowest polymorph of the same formula in eV/atom: 0.885
Energy in eV/atom: -2.220
DOS(E_F) in states/eV per atom: 0.4552

Unit cell a=3.417 b=4.986 c=5.608 alpha=90.00 beta=90.00 gamma=90.00
Atoms (fractional coordinates):
Br (0.000, 0.500, 0.115)
Br (0.500, 0.000, 0.718)
Be (0.000, 0.000, 0.002)
Be (0.500, 0.500, 0.831)

[10]
First-principles (GGA-PBE) data for an optimized crystal structure of BeBr, as listed in the Alexandria database.

SG: P6_3/mmc, No. 194
Uncorrected formation energy in eV per atom: 0.579
Distance to the lowest polymorph of the same formula in eV/atom: 0.984
Energy in eV/atom: -2.120
DOS(E_F) in states/eV per atom: 0.3920

Unit cell a=6.173 b=6.173 c=6.262 alpha=90.00 beta=90.00 gamma=120.00
Atoms (fractional coordinates):
Be (0.333, 0.667, 0.090)
Be (0.333, 0.667, 0.410)
Be (0.667, 0.333, 0.590)
Be (0.667, 0.333, 0.910)
Br (0.333, 0.667, 0.750)
Br (0.667, 0.333, 0.250)
Br (0.000, 0.000, 0.750)
Br (0.000, 0.000, 0.250)

[11]
First-principles (GGA-PBE) data for an optimized crystal structure of BeBr2, as listed in the Alexandria database.

SG: Ibam, No. 72
Uncorrected formation energy in eV per atom: -1.022
Distance to the lowest polymorph of the same formula in eV/atom: 0.000
Energy in eV/atom: -3.380
DOS(E_F) in states/eV per atom: 0.0000

Unit cell a=7.157 b=7.157 c=7.157 alpha=133.99 beta=128.52 gamma=71.50
Atoms (fractional coordinates):
Br (0.297, 0.603, 0.693)
Br (0.703, 0.397, 0.307)
Br (0.090, 0.897, 0.193)
Br (0.910, 0.103, 0.807)
Be (0.000, 0.750, 0.750)
Be (0.000, 0.250, 0.250)

[12]
First-principles (GGA-PBE) data for an optimized crystal structure of BeBr5, as listed in the Alexandria database.

SG: Cm, No. 8
Uncorrected formation energy in eV per atom: -0.187
Distance to the lowest polymorph of the same formula in eV/atom: 0.000
Energy in eV/atom: -2.202
DOS(E_F) in states/eV per atom: 0.3238

Unit cell a=7.034 b=7.034 c=10.095 alpha=63.22 beta=63.22 gamma=28.10
Atoms (fractional coordinates):
Br (0.712, 0.712, 0.501)
Br (0.626, 0.626, 0.997)
Br (0.378, 0.378, 0.502)
Br (0.045, 0.045, 0.501)
Br (0.395, 0.395, 0.000)
Be (0.011, 0.011, 0.998)

The highest distance to the lowest polymorph of the same formula belongs to which entry?
number 4

Which of these has the highest uncorrected formation energy?
number 4